The following is a DFT calculation (PBE) of an optimized crystal structure of Na3CaSe.

The structure in extended XYZ format:
```
5
Lattice="5.700 0.000 0.000 0.000 5.700 0.000 0.000 0.000 5.700" Properties=species:S:1:pos:R:3 pbc="T T T"
Na 0.000 0.000 2.850
Na 0.000 2.850 0.000
Na 2.850 0.000 0.000
Ca 2.850 2.850 2.850
Se 0.000 0.000 0.000
```

Output
D(E_F)   4.56 states/eV per cell
DFT total energy   -2.232 eV per atom
Energy relative to the elements, uncorrected   -0.3434 eV per atom
Symmetry   Pm-3m

---

The following is a DFT calculation (PBE) of an optimized crystal structure of NaCa2Se2.

The structure in extended XYZ format:
```
10
Lattice="5.510 0.000 0.000 0.000 5.510 0.000 0.000 0.000 11.581" Properties=species:S:1:pos:R:3 pbc="T T T"
Na 0.000 0.000 0.000
Na 2.755 2.755 5.790
Ca 0.000 0.000 3.663
Ca 0.000 0.000 7.917
Ca 2.755 2.755 2.127
Ca 2.755 2.755 9.454
Se 0.000 2.755 2.895
Se 0.000 2.755 8.685
Se 2.755 0.000 2.895
Se 2.755 0.000 8.685
```

Output
D(E_F)   4.51 states/eV per cell
DFT total energy   -3.664 eV per atom
Energy relative to the elements, uncorrected   -1.2056 eV per atom
Symmetry   I4/mmm

---

The following is a DFT calculation (PBE) of an optimized crystal structure of Na3CaSe.

The structure in extended XYZ format:
```
5
Lattice="6.140 0.000 0.000 0.000 6.140 0.000 0.000 0.000 6.140" Properties=species:S:1:pos:R:3 pbc="T T T"
Na 0.000 0.000 3.070
Na 0.000 3.070 0.000
Na 3.070 0.000 0.000
Ca 0.000 0.000 0.000
Se 3.070 3.070 3.070
```

Output
D(E_F)   7.46 states/eV per cell
DFT total energy   -1.306 eV per atom
Energy relative to the elements, uncorrected   0.5827 eV per atom
Symmetry   Pm-3m

---

The following is a DFT calculation (PBE) of an optimized crystal structure of Na2CaSiSe4.

The structure in extended XYZ format:
```
16
Lattice="-3.914 4.200 5.814 3.914 -4.200 5.814 3.914 4.200 -5.814" Properties=species:S:1:pos:R:3 pbc="T T T"
Na 0.000 0.000 0.000
Na -1.957 2.100 2.907
Na 0.000 4.200 0.000
Na 1.957 2.100 2.907
Ca 3.914 0.000 0.000
Ca 0.000 0.000 5.814
Si 1.957 2.100 -2.907
Si 1.957 -2.100 2.907
Se 1.943 2.100 -0.451
Se 1.972 -2.100 5.363
Se 3.914 3.883 -2.915
Se 3.914 -0.317 2.915
Se 0.000 4.518 2.899
Se 0.000 0.317 8.729
Se 1.943 6.301 0.451
Se 1.972 2.100 6.265
```

Output
D(E_F)   1.34 states/eV per cell
DFT total energy   -3.939 eV per atom
Energy relative to the elements, uncorrected   -0.9384 eV per atom
Symmetry   Imma

---

The following is a DFT calculation (PBE) of an optimized crystal structure of NaCa2SmSe4.

The structure in extended XYZ format:
```
8
Lattice="7.264 0.000 0.000 0.000 4.232 0.000 -2.332 0.000 6.901" Properties=species:S:1:pos:R:3 pbc="T T T"
Na 0.000 0.000 0.000
Ca 2.466 0.000 3.450
Ca 3.632 2.116 0.000
Sm -1.166 2.116 3.450
Se 0.052 0.000 5.141
Se 1.238 2.116 1.789
Se 3.694 2.116 5.111
Se 4.880 0.000 1.760
```

Output
DFT total energy   -4.830 eV per atom
Energy relative to the elements, uncorrected   -1.8327 eV per atom
Symmetry   P2/m

---

The following is a DFT calculation (PBE) of an optimized crystal structure of NaCa3Sm3Se8.

The structure in extended XYZ format:
```
15
Lattice="4.188 2.418 6.849 -4.188 2.418 6.849 0.000 -4.835 6.849" Properties=species:S:1:pos:R:3 pbc="T T T"
Na 0.000 0.000 0.000
Ca -4.188 0.000 10.274
Ca -2.094 1.209 3.425
Ca 2.094 1.209 3.425
Sm -2.094 -1.209 6.849
Sm -2.094 1.209 13.699
Sm 0.000 2.418 6.849
Se 0.000 0.000 5.144
Se 0.000 -2.371 8.528
Se -2.054 1.186 8.528
Se -2.054 -1.186 12.020
Se 2.054 1.186 8.528
Se 2.054 -1.186 12.020
Se 0.000 2.371 12.020
Se 0.000 0.000 15.404
```

Output
DFT total energy   -5.095 eV per atom
Energy relative to the elements, uncorrected   -1.8045 eV per atom
Symmetry   R-3m

---

The following is a DFT calculation (PBE) of an optimized crystal structure of NaCa3Sm2Se6.

The structure in extended XYZ format:
```
12
Lattice="3.643 -6.303 0.000 3.643 6.303 0.000 -2.429 0.000 6.863" Properties=species:S:1:pos:R:3 pbc="T T T"
Na 0.000 0.000 0.000
Ca 2.429 4.224 3.431
Ca 2.429 0.000 3.431
Ca 2.429 -4.224 3.431
Sm 3.643 2.104 0.000
Sm 3.643 -2.104 0.000
Se 1.236 2.135 1.717
Se 0.038 0.000 5.149
Se 1.236 -2.135 1.717
Se 3.622 2.135 5.146
Se 4.820 0.000 1.714
Se 3.622 -2.135 5.146
```

Output
D(E_F)   3.58 states/eV per cell
DFT total energy   -5.006 eV per atom
Energy relative to the elements, uncorrected   -1.8664 eV per atom
Symmetry   C2/m

---

The following is a DFT calculation (PBE) of an optimized crystal structure of NaCa3Sm4Se8.

The structure in extended XYZ format:
```
16
Lattice="4.164 2.404 6.932 -4.164 2.404 6.932 0.000 -4.808 6.932" Properties=species:S:1:pos:R:3 pbc="T T T"
Na 0.000 0.000 0.000
Ca -2.082 -1.202 6.932
Ca -2.082 1.202 13.865
Ca 0.000 2.404 6.932
Sm -4.164 0.000 10.398
Sm -2.082 1.202 3.466
Sm 2.082 1.202 3.466
Sm 0.000 0.000 10.398
Se 0.000 0.000 5.215
Se 0.000 -2.397 8.669
Se -2.076 1.198 8.669
Se -2.076 -1.198 12.127
Se 2.076 1.198 8.669
Se 2.076 -1.198 12.127
Se 0.000 2.397 12.127
Se 0.000 0.000 15.582
```

Output
D(E_F)   5.19 states/eV per cell
DFT total energy   -5.235 eV per atom
Energy relative to the elements, uncorrected   -1.8553 eV per atom
Symmetry   R-3m

---

Which of these has the highest DFT total energy? number 3